{
  "formula": "V2Zn2Ni",
  "functional": "PBE-GGA",
  "state": "relaxed",
  "delta_e_f_ev_per_atom": 0.236,
  "volume_a3_per_cell": 137,
  "lattice": [[6.185, 0.000, 0.000], [0.000, 6.185, 0.000], [0.000, 0.000, 3.593]],
  "species": ["V", "V", "V", "V", "Zn", "Zn", "Zn", "Zn", "Ni", "Ni"],
  "frac_coords": [[0.163, 0.337, 0.000], [0.337, 0.837, 0.000], [0.663, 0.163, 0.000], [0.837, 0.663, 0.000], [0.139, 0.639, 0.500], [0.361, 0.139, 0.500], [0.639, 0.861, 0.500], [0.861, 0.361, 0.500], [0.000, 0.000, 0.500], [0.500, 0.500, 0.500]]
}